# 1
# Fe2CoSe2 (PBE, relaxed)
data_Fe2CoSe2
_space_group_name_H-M_alt 'I 4/m m m'
_space_group_IT_number 139
_space_group_name_Hall '-I 4 2'
_cell_length_a 3.416
_cell_length_b 3.416
_cell_length_c 13.412
_cell_angle_alpha 90.00
_cell_angle_beta 90.00
_cell_angle_gamma 90.00
loop_
_atom_site_label
_atom_site_type_symbol
_atom_site_fract_x
_atom_site_fract_y
_atom_site_fract_z
Fe1 Fe 0.000 0.500 0.250
Co1 Co 0.000 0.000 0.000
Se1 Se 0.000 0.000 0.384
# ΔE_f (raw): 0.35 eV/atom
# total magnetization: 12.30 Bohr magnetons per cell

# 2
# FeCoSe2 (PBE, relaxed)
data_FeCoSe2
_space_group_name_H-M_alt 'R 3 m'
_space_group_IT_number 160
_space_group_name_Hall 'R 3 -2"'
_cell_length_a 3.6082
_cell_length_b 3.6082
_cell_length_c 19.1634
_cell_angle_alpha 90.00
_cell_angle_beta 90.00
_cell_angle_gamma 120.00
loop_
_atom_site_label
_atom_site_type_symbol
_atom_site_fract_x
_atom_site_fract_y
_atom_site_fract_z
Fe1 Fe 0.0000 0.0000 0.0000
Co1 Co 0.0000 0.0000 0.2734
Se1 Se 0.0000 0.0000 0.5533
Se2 Se 0.0000 0.0000 0.7340
# ΔE_f (raw): -0.02 eV/atom
# energy relative to the lowest polymorph listed for this composition: 296 meV/atom
# total magnetization: 10.03 Bohr magnetons per cell

# 3
# FeCoSe2 (PBE, relaxed)
data_FeCoSe2
_space_group_name_H-M_alt 'P -3 m 1'
_space_group_IT_number 164
_space_group_name_Hall '-P 3 2"'
_cell_length_a 3.6252
_cell_length_b 3.6252
_cell_length_c 5.5022
_cell_angle_alpha 90.00
_cell_angle_beta 90.00
_cell_angle_gamma 120.00
loop_
_atom_site_label
_atom_site_type_symbol
_atom_site_fract_x
_atom_site_fract_y
_atom_site_fract_z
Fe1 Fe 0.0000 0.0000 0.0000
Co1 Co 0.0000 0.0000 0.5000
Se1 Se 0.3333 0.6667 0.2703
# ΔE_f (raw): -0.12 eV/atom
# energy relative to the lowest polymorph listed for this composition: 192 meV/atom
# total magnetization: 2.75 Bohr magnetons per cell

# 4
# Fe3CoSe (PBE, relaxed)
data_Fe3CoSe
_space_group_name_H-M_alt 'P m -3 m'
_space_group_IT_number 221
_space_group_name_Hall '-P 4 2 3'
_cell_length_a 4.326
_cell_length_b 4.326
_cell_length_c 4.326
_cell_angle_alpha 90.00
_cell_angle_beta 90.00
_cell_angle_gamma 90.00
loop_
_atom_site_label
_atom_site_type_symbol
_atom_site_fract_x
_atom_site_fract_y
_atom_site_fract_z
Fe1 Fe 0.000 0.000 0.500
Co1 Co 0.500 0.500 0.500
Se1 Se 0.000 0.000 0.000
# ΔE_f (raw): 0.94 eV/atom
# energy relative to the lowest polymorph listed for this composition: 86 meV/atom
# total magnetization: 8.94 Bohr magnetons per cell

# 5
# FeCoSe2 (PBE, relaxed)
data_FeCoSe2
_space_group_name_H-M_alt 'I m m 2'
_space_group_IT_number 44
_space_group_name_Hall 'I 2 -2'
_cell_length_a 3.205
_cell_length_b 3.221
_cell_length_c 14.733
_cell_angle_alpha 90.00
_cell_angle_beta 90.00
_cell_angle_gamma 90.00
loop_
_atom_site_label
_atom_site_type_symbol
_atom_site_fract_x
_atom_site_fract_y
_atom_site_fract_z
Fe1 Fe 0.000 0.000 0.000
Co1 Co 0.000 0.500 0.122
Se1 Se 0.000 0.000 0.427
Se2 Se 0.000 0.500 0.677
# ΔE_f (raw): 0.08 eV/atom
# energy relative to the lowest polymorph listed for this composition: 394 meV/atom
# total magnetization: 7.44 Bohr magnetons per cell

# 6
# FeCoSe2 (PBE, relaxed)
data_FeCoSe2
_space_group_name_H-M_alt 'P 4 m m'
_space_group_IT_number 99
_space_group_name_Hall 'P 4 -2'
_cell_length_a 3.254
_cell_length_b 3.254
_cell_length_c 6.624
_cell_angle_alpha 90.00
_cell_angle_beta 90.00
_cell_angle_gamma 90.00
loop_
_atom_site_label
_atom_site_type_symbol
_atom_site_fract_x
_atom_site_fract_y
_atom_site_fract_z
Fe1 Fe 0.000 0.000 0.000
Co1 Co 0.500 0.500 0.785
Se1 Se 0.000 0.000 0.650
Se2 Se 0.500 0.500 0.139
# ΔE_f (raw): -0.13 eV/atom
# energy relative to the lowest polymorph listed for this composition: 189 meV/atom
# total magnetization: 1.61 Bohr magnetons per cell

# 7
# FeCoSe2 (PBE, relaxed)
data_FeCoSe2
_space_group_name_H-M_alt 'F -4 3 m'
_space_group_IT_number 216
_space_group_name_Hall 'F -4 2 3'
_cell_length_a 6.309
_cell_length_b 6.309
_cell_length_c 6.309
_cell_angle_alpha 90.00
_cell_angle_beta 90.00
_cell_angle_gamma 90.00
loop_
_atom_site_label
_atom_site_type_symbol
_atom_site_fract_x
_atom_site_fract_y
_atom_site_fract_z
Fe1 Fe 0.000 0.000 0.000
Co1 Co 0.250 0.250 0.750
Se1 Se 0.000 0.000 0.500
Se2 Se 0.250 0.250 0.250
# ΔE_f (raw): 0.69 eV/atom
# energy relative to the lowest polymorph listed for this composition: 1009 meV/atom
# total magnetization: 17.30 Bohr magnetons per cell

# 8
# FeCoSe2 (PBE, relaxed)
data_FeCoSe2
_space_group_name_H-M_alt 'P -4 m 2'
_space_group_IT_number 115
_space_group_name_Hall 'P -4 -2'
_cell_length_a 3.678
_cell_length_b 3.678
_cell_length_c 5.831
_cell_angle_alpha 90.00
_cell_angle_beta 90.00
_cell_angle_gamma 90.00
loop_
_atom_site_label
_atom_site_type_symbol
_atom_site_fract_x
_atom_site_fract_y
_atom_site_fract_z
Fe1 Fe 0.000 0.000 0.000
Co1 Co 0.500 0.500 0.000
Se1 Se 0.000 0.500 0.762
# ΔE_f (raw): -0.32 eV/atom
# energy relative to the lowest polymorph listed for this composition: 0 meV/atom
# total magnetization: 0.00 Bohr magnetons per cell

# 9
# Fe3CoSe (PBE, relaxed)
data_Fe3CoSe
_space_group_name_H-M_alt 'P m -3 m'
_space_group_IT_number 221
_space_group_name_Hall '-P 4 2 3'
_cell_length_a 4.373
_cell_length_b 4.373
_cell_length_c 4.373
_cell_angle_alpha 90.00
_cell_angle_beta 90.00
_cell_angle_gamma 90.00
loop_
_atom_site_label
_atom_site_type_symbol
_atom_site_fract_x
_atom_site_fract_y
_atom_site_fract_z
Fe1 Fe 0.000 0.000 0.500
Co1 Co 0.000 0.000 0.000
Se1 Se 0.500 0.500 0.500
# ΔE_f (raw): 0.85 eV/atom
# energy relative to the lowest polymorph listed for this composition: 0 meV/atom
# total magnetization: 10.90 Bohr magnetons per cell

# 10
# FeCoSe3 (PBE, relaxed)
data_FeCoSe3
_space_group_name_H-M_alt 'P m -3 m'
_space_group_IT_number 221
_space_group_name_Hall '-P 4 2 3'
_cell_length_a 4.593
_cell_length_b 4.593
_cell_length_c 4.593
_cell_angle_alpha 90.00
_cell_angle_beta 90.00
_cell_angle_gamma 90.00
loop_
_atom_site_label
_atom_site_type_symbol
_atom_site_fract_x
_atom_site_fract_y
_atom_site_fract_z
Fe1 Fe 0.000 0.000 0.000
Co1 Co 0.500 0.500 0.500
Se1 Se 0.000 0.000 0.500
# ΔE_f (raw): 0.89 eV/atom
# energy relative to the lowest polymorph listed for this composition: 1168 meV/atom
# total magnetization: 0.00 Bohr magnetons per cell

# 11
# FeCo3Se (PBE, relaxed)
data_FeCo3Se
_space_group_name_H-M_alt 'P m -3 m'
_space_group_IT_number 221
_space_group_name_Hall '-P 4 2 3'
_cell_length_a 4.331
_cell_length_b 4.331
_cell_length_c 4.331
_cell_angle_alpha 90.00
_cell_angle_beta 90.00
_cell_angle_gamma 90.00
loop_
_atom_site_label
_atom_site_type_symbol
_atom_site_fract_x
_atom_site_fract_y
_atom_site_fract_z
Fe1 Fe 0.000 0.000 0.000
Co1 Co 0.000 0.000 0.500
Se1 Se 0.500 0.500 0.500
# ΔE_f (raw): 1.10 eV/atom
# energy relative to the lowest polymorph listed for this composition: 258 meV/atom
# total magnetization: 8.34 Bohr magnetons per cell

# 12
# FeCo2SnSe (PBE, relaxed)
data_FeCo2SnSe
_space_group_name_H-M_alt 'P 4/m m m'
_space_group_IT_number 123
_space_group_name_Hall '-P 4 2'
_cell_length_a 4.280
_cell_length_b 4.280
_cell_length_c 5.665
_cell_angle_alpha 90.00
_cell_angle_beta 90.00
_cell_angle_gamma 90.00
loop_
_atom_site_label
_atom_site_type_symbol
_atom_site_fract_x
_atom_site_fract_y
_atom_site_fract_z
Fe1 Fe 0.000 0.000 0.000
Co1 Co 0.000 0.500 0.500
Sn1 Sn 0.500 0.500 0.000
Se1 Se 0.500 0.500 0.500
# ΔE_f (raw): 0.95 eV/atom
# total magnetization: 6.06 Bohr magnetons per cell

# 13
# FeCoTcSe2 (PBE, relaxed)
data_FeCoTcSe2
_space_group_name_H-M_alt 'P 4/m m m'
_space_group_IT_number 123
_space_group_name_Hall '-P 4 2'
_cell_length_a 4.587
_cell_length_b 4.587
_cell_length_c 4.449
_cell_angle_alpha 90.00
_cell_angle_beta 90.00
_cell_angle_gamma 90.00
loop_
_atom_site_label
_atom_site_type_symbol
_atom_site_fract_x
_atom_site_fract_y
_atom_site_fract_z
Fe1 Fe 0.000 0.000 0.000
Co1 Co 0.500 0.500 0.500
Tc1 Tc 0.500 0.500 0.000
Se1 Se 0.000 0.500 0.500
# ΔE_f (raw): 1.07 eV/atom
# total magnetization: 5.04 Bohr magnetons per cell

# 14
# FeCoTe2Se (PBE, relaxed)
data_FeCoTe2Se
_space_group_name_H-M_alt 'P 4/m m m'
_space_group_IT_number 123
_space_group_name_Hall '-P 4 2'
_cell_length_a 5.238
_cell_length_b 5.238
_cell_length_c 4.252
_cell_angle_alpha 90.00
_cell_angle_beta 90.00
_cell_angle_gamma 90.00
loop_
_atom_site_label
_atom_site_type_symbol
_atom_site_fract_x
_atom_site_fract_y
_atom_site_fract_z
Fe1 Fe 0.000 0.000 0.000
Co1 Co 0.500 0.500 0.500
Te1 Te 0.000 0.500 0.000
Se1 Se 0.000 0.000 0.500
# ΔE_f (raw): 0.79 eV/atom
# total magnetization: 2.47 Bohr magnetons per cell